The following is a PBE calculation of crystalline SmTmCdSi at its relaxed geometry, from Alexandria.

Summary:
The total DFT energy (no corrections) comes out at -4.252 eV per atom. Its density is 8.0 g/cm3. The symmetry is F-43m, No. 216. The crystal system is cubic. The value obtained for the formation energy (no corrections) is -1.5 eV/f.u. The value obtained for the size of the total moment is 0.00 Bohr magnetons per cell.

Lattice parameters (Å, degrees): 5.122 5.122 5.122 60.00 60.00 60.00
Sites, in units of the cell vectors:
Si (0.250, 0.250, 0.250)
Tm (0.000, 0.000, 0.000)
Sm (0.500, 0.500, 0.500)
Cd (0.750, 0.750, 0.750)

=====

The following is a PBE calculation of crystalline Sr3Li3Ca at its relaxed geometry, from Alexandria.

Summary:
The total DFT energy (no corrections) comes out at -1.748 eV per atom. As for the formation energy: 0.079 eV per atom. Its density is 1.9 g/cm3. The symmetry is Cmmm, No. 65. The crystal system is orthorhombic. The value obtained for the size of the total moment is 0.00 Bohr magnetons per cell.

Lattice parameters (Å, degrees): 8.240 8.240 8.209 90.00 90.00 82.71
Sites, in units of the cell vectors:
Sr (0.227, 0.227, 0.500)
Sr (0.283, 0.717, 0.500)
Sr (0.717, 0.283, 0.500)
Sr (0.293, 0.707, 0.000)
Sr (0.707, 0.293, 0.000)
Sr (0.773, 0.773, 0.500)
Li (0.000, 0.000, 0.763)
Li (0.500, 0.000, 0.234)
Li (0.000, 0.500, 0.234)
Li (0.500, 0.000, 0.766)
Li (0.000, 0.500, 0.766)
Li (0.000, 0.000, 0.237)
Ca (0.221, 0.221, 0.000)
Ca (0.779, 0.779, 0.000)

=====

The following is a PBE calculation of crystalline AcSm14Ho at its relaxed geometry, from Alexandria.

Summary:
The total DFT energy (no corrections) comes out at -4.636 eV per atom. As for the formation energy: 0.036 eV per atom. Its density is 7.5 g/cm3. The symmetry is Amm2, No. 38. The crystal system is orthorhombic. The value obtained for the size of the total moment is 0.00 Bohr magnetons per cell.

Lattice parameters (Å, degrees): 7.377 7.377 11.746 90.00 90.00 120.06
Sites, in units of the cell vectors:
Ac (0.668, 0.332, 0.000)
Sm (0.667, 0.333, 0.500)
Sm (0.167, 0.833, 0.500)
Sm (0.164, 0.331, 0.000)
Sm (0.167, 0.334, 0.500)
Sm (0.669, 0.836, 0.000)
Sm (0.666, 0.833, 0.500)
Sm (0.331, 0.166, 0.748)
Sm (0.331, 0.166, 0.252)
Sm (0.834, 0.669, 0.748)
Sm (0.834, 0.669, 0.252)
Sm (0.834, 0.166, 0.746)
Sm (0.834, 0.166, 0.254)
Sm (0.333, 0.667, 0.752)
Sm (0.333, 0.667, 0.248)
Ho (0.166, 0.834, 0.000)

=====

The following is a PBE calculation of crystalline NaAgHg at its relaxed geometry, from Alexandria.

Summary:
The energy above the most stable polymorph in this dataset comes out at 0.0093 eV/atom. The total DFT energy (no corrections) comes out at -1.581 eV per atom. As for the formation energy: -0.090 eV per atom. Its density is 8.1 g/cm3. The symmetry is P-6m2, No. 187. The crystal system is hexagonal. The value obtained for the size of the total moment is 0.00 Bohr magnetons per cell.

Lattice parameters (Å, degrees): 3.105 5.035 5.035 120.00 90.00 90.00
Sites, in units of the cell vectors:
Na (0.666, 0.667, 0.333)
Hg (0.167, 0.000, 0.000)
Ag (0.167, 0.333, 0.667)

=====

The following is a PBE calculation of crystalline Nd3DyHoEr at its relaxed geometry, from Alexandria.

Summary:
The total DFT energy (no corrections) comes out at -4.654 eV per atom. As for the formation energy: 0.020 eV per atom. Its density is 7.8 g/cm3. The symmetry is Cmcm, No. 63. The crystal system is orthorhombic. The value obtained for the size of the total moment is 0.00 Bohr magnetons per cell.

Lattice parameters (Å, degrees): 5.086 8.064 10.194 90.00 90.00 108.38
Sites, in units of the cell vectors:
Nd (0.665, 0.330, 0.500)
Nd (0.335, 0.670, 0.500)
Nd (0.335, 0.670, 0.000)
Nd (0.665, 0.330, 0.000)
Nd (0.166, 0.332, 0.750)
Nd (0.834, 0.668, 0.250)
Dy (0.000, 0.000, 0.500)
Dy (0.000, 0.000, 0.000)
Ho (0.499, 0.997, 0.750)
Ho (0.501, 0.003, 0.250)
Er (0.835, 0.670, 0.750)
Er (0.165, 0.330, 0.250)

=====

The following is a PBE calculation of crystalline Ba2ScPdO at its relaxed geometry, from Alexandria.

Summary:
The total DFT energy (no corrections) comes out at -3.772 eV per atom. Its density is 4.0 g/cm3. The symmetry is P4/mmm, No. 123. The crystal system is tetragonal. The value obtained for the formation energy (no corrections) is 1.5 eV/f.u. The value obtained for the size of the total moment is 2.37 Bohr magnetons per cell.

Lattice parameters (Å, degrees): 6.311 4.633 6.311 90.00 90.00 90.00
Site moments in Bohr magnetons follow the coordinates.
Sites, in units of the cell vectors:
Sc (0.000, 0.000, 0.000)  0.69
O (0.500, 0.500, 0.500)  0.39
Ba (0.000, 0.000, 0.500)  0.18
Ba (0.500, 0.000, 0.000)  0.14
Pd (0.000, 0.500, 0.000)  0.01